Ac2NiB12Os3: relaxed, GGA-PBE.

The energy relative to the elements is 460 meV/atom.

The space group is R-3m (No. 166, hexagonal axes) and the conventional cell measures 8.1765, 8.1765 and 14.1161 Å, with angles of 90.00, 90.00 and 120.00 degrees. The distinct sites, in fractional coordinates, are Ac at (0.0000, 0.0000, 0.1893), Ni at (0.0000, 0.0000, 0.5000), B at (0.0604, 0.5302, 0.1413), B at (0.0959, 0.5480, 0.2615) and Os at (0.0000, 0.5000, 0.0000).



VGeSb2As: relaxed, GGA-PBE.

The raw formation energy comes out at 425 meV per atom.

The space group is P4/mmm (No. 123) and the conventional cell measures 5.224, 5.224 and 4.581 Å, with angles of 90.00, 90.00 and 90.00 degrees. The distinct sites, in fractional coordinates, are V at (0.000, 0.000, 0.000), Ge at (0.500, 0.500, 0.500), Sb at (0.000, 0.500, 0.000) and As at (0.000, 0.000, 0.500).



PrSc2Pb: relaxed, GGA-PBE.

The distance to the lowest polymorph of the same formula comes out at 0.38 eV/f.u. The energy relative to the elements is -156 meV/atom.

The space group is P4/mmm (No. 123) and the conventional cell measures 3.751, 3.751 and 7.681 Å, with angles of 90.00, 90.00 and 90.00 degrees. The distinct sites, in fractional coordinates, are Pr at (0.000, 0.000, 0.000), Sc at (0.500, 0.500, 0.283) and Pb at (0.000, 0.000, 0.500).



Mg2Cd2Pt: relaxed, GGA-PBE.

The distance to the lowest polymorph of the same formula comes out at 1.48 eV/f.u. The energy relative to the elements is -115 meV/atom.

The space group is P4/mbm (No. 127) and the conventional cell measures 7.127, 7.127 and 4.069 Å, with angles of 90.00, 90.00 and 90.00 degrees. The distinct sites, in fractional coordinates, are Mg at (0.171, 0.329, 0.000), Cd at (0.139, 0.639, 0.500) and Pt at (0.000, 0.000, 0.500).



CeGa6Pd6: relaxed, GGA-PBE.

The energy relative to the elements is -603 meV/atom.

The space group is Immm (No. 71) and the conventional cell measures 5.495, 8.476 and 9.482 Å, with angles of 90.00, 90.00 and 90.00 degrees. The distinct sites, in fractional coordinates, are Ce at (0.000, 0.000, 0.000), Ga at (0.000, 0.000, 0.343), Ga at (0.000, 0.352, 0.000), Ga at (0.000, 0.500, 0.320), Pd at (0.000, 0.259, 0.500) and Pd at (0.250, 0.250, 0.250).



Li2Be2S3: relaxed, GGA-PBE.

The raw formation energy comes out at -1137 meV per atom.

The space group is C2/c (No. 15) and the conventional cell measures 13.370, 11.472 and 6.109 Å, with angles of 90.00, 117.03 and 90.00 degrees. The distinct sites, in fractional coordinates, are Li at (0.000, 0.070, 0.250), Li at (0.000, 0.221, 0.750), Li at (0.100, 0.417, 0.655), Be at (0.187, 0.236, 0.267), Be at (0.212, 0.079, 0.792), S at (0.116, 0.384, 0.060), S at (0.137, 0.221, 0.551) and S at (0.152, 0.076, 0.067).



Computed energy, in the same sequence as the records: -6.64; -4.90; -5.44; -2.33; -4.85; -4.52 eV per atom.